# 1
## Mg6ZnSn (GGA-PBE)

Data for a geometry-optimized Mg6ZnSn structure.

Computed properties:
Formation enthalpy at 0 K = -78 meV per atom
Energy above the most stable polymorph in this dataset = 0.00 kJ per mole of atoms
DOS at the Fermi energy = 2.44 states/eV/cell
Mass density = 3.19 g/cm³
Volume = 21.5 A^3/atom

Structure (CIF):
```
data_Mg6ZnSn
_cell_length_a 4.404
_cell_length_b 4.404
_cell_length_c 8.858
_cell_angle_alpha 90.00
_cell_angle_beta 90.00
_cell_angle_gamma 90.00
_space_group_name_H-M_alt 'P 4/m m m'
_space_group_IT_number 123
_space_group_name_Hall '-P 4 2'
loop_
_atom_site_label
_atom_site_type_symbol
_atom_site_fract_x
_atom_site_fract_y
_atom_site_fract_z
Mg1 Mg 0.000 0.000 0.000
Mg2 Mg 0.000 0.000 0.500
Mg3 Mg 0.000 0.500 0.240
Zn1 Zn 0.500 0.500 0.000
Sn1 Sn 0.500 0.500 0.500
```

=====

# 2
## Li3HgF6 (GGA-PBE)

Data for a geometry-optimized Li3HgF6 structure.

Computed properties:
Formation energy (no corrections) = -2.122 eV/atom
Energy above the most stable polymorph in this dataset = 3.86 kJ per mole of atoms
DOS at the Fermi energy = 10.74 states/eV/cell
Mass density = 4.58 g/cm³
Volume = 12.1 A^3/atom

Structure (CIF):
```
data_Li3HgF6
_cell_length_a 7.289
_cell_length_b 9.729
_cell_length_c 3.426
_cell_angle_alpha 90.00
_cell_angle_beta 90.00
_cell_angle_gamma 90.00
_space_group_name_H-M_alt 'C m m m'
_space_group_IT_number 65
_space_group_name_Hall '-C 2 2'
loop_
_atom_site_label
_atom_site_type_symbol
_atom_site_fract_x
_atom_site_fract_y
_atom_site_fract_z
Li1 Li 0.000 0.000 0.000
Li2 Li 0.250 0.250 0.500
Hg1 Hg 0.000 0.500 0.000
F1 F 0.000 0.340 0.500
F2 F 0.200 0.127 0.000
```

=====

# 3
## AgHPd3 (GGA-PBE)

Data for a geometry-optimized AgHPd3 structure.

Computed properties:
Energy above the most stable polymorph in this dataset = 1.46 kJ per mole of atoms
DOS at the Fermi energy = 4.64 states/eV/cell
Mass density = 10.60 g/cm³
Volume = 13.4 A^3/atom

Structure (CIF):
```
data_AgHPd3
_cell_length_a 4.098
_cell_length_b 5.722
_cell_length_c 5.724
_cell_angle_alpha 88.27
_cell_angle_beta 89.70
_cell_angle_gamma 89.95
_space_group_name_H-M_alt 'P 1'
_space_group_IT_number 1
_space_group_name_Hall 'P 1'
loop_
_atom_site_label
_atom_site_type_symbol
_atom_site_fract_x
_atom_site_fract_y
_atom_site_fract_z
Ag1 Ag 0.000 0.000 0.000
Ag2 Ag 0.494 0.245 0.743
H1 H 0.239 0.752 0.512
H2 H 0.445 0.523 0.043
Pd1 Pd 0.497 0.253 0.247
Pd2 Pd 0.507 0.756 0.253
Pd3 Pd 0.509 0.745 0.758
Pd4 Pd 0.988 0.008 0.496
Pd5 Pd 0.988 0.495 0.497
Pd6 Pd 0.997 0.500 0.002
```

=====

# 4
## Y2NiAs (GGA-PBE)

Data for a geometry-optimized Y2NiAs structure.

Computed properties:
Formation enthalpy at 0 K = 14 meV per atom
DOS at the Fermi energy = 24.91 states/eV/cell
Mass density = 6.21 g/cm³
Volume = 20.8 A^3/atom

Structure (CIF):
```
data_Y2NiAs
_cell_length_a 6.933
_cell_length_b 6.933
_cell_length_c 6.933
_cell_angle_alpha 90.00
_cell_angle_beta 90.00
_cell_angle_gamma 90.00
_space_group_name_H-M_alt 'F -4 3 m'
_space_group_IT_number 216
_space_group_name_Hall 'F -4 2 3'
loop_
_atom_site_label
_atom_site_type_symbol
_atom_site_fract_x
_atom_site_fract_y
_atom_site_fract_z
Y1 Y 0.000 0.000 0.000
Y2 Y 0.250 0.250 0.250
Ni1 Ni 0.250 0.250 0.750
As1 As 0.000 0.000 0.500
```

=====

# 5
## Y3Hg4Pd2 (GGA-PBE)

Data for a geometry-optimized Y3Hg4Pd2 structure.

Computed properties:
Formation enthalpy at 0 K = -525 meV per atom
DOS at the Fermi energy = 19.20 states/eV/cell
Mass density = 10.31 g/cm³
Volume = 22.9 A^3/atom

Structure (CIF):
```
data_Y3Hg4Pd2
_cell_length_a 14.240
_cell_length_b 11.131
_cell_length_c 5.296
_cell_angle_alpha 90.00
_cell_angle_beta 100.30
_cell_angle_gamma 90.00
_space_group_name_H-M_alt 'C 1 2/c 1'
_space_group_IT_number 15
_space_group_name_Hall '-C 2yc'
loop_
_atom_site_label
_atom_site_type_symbol
_atom_site_fract_x
_atom_site_fract_y
_atom_site_fract_z
Y1 Y 0.000 0.110 0.250
Y2 Y 0.167 0.365 0.084
Hg1 Hg 0.058 0.364 0.531
Hg2 Hg 0.216 0.112 0.360
Pd1 Pd 0.111 0.128 0.812
```

=====

# 6
## DyEr2TmO6 (GGA-PBE)

Data for a geometry-optimized DyEr2TmO6 structure.

Computed properties:
Formation energy (no corrections) = -3.585 eV/atom
DOS at the Fermi energy = 0.00 states/eV/cell
Mass density = 8.80 g/cm³
Volume = 14.4 A^3/atom

Structure (CIF):
```
data_DyEr2TmO6
_cell_length_a 5.7506
_cell_length_b 5.7506
_cell_length_c 15.0597
_cell_angle_alpha 90.00
_cell_angle_beta 90.00
_cell_angle_gamma 120.00
_space_group_name_H-M_alt 'R 3'
_space_group_IT_number 146
_space_group_name_Hall 'R 3'
loop_
_atom_site_label
_atom_site_type_symbol
_atom_site_fract_x
_atom_site_fract_y
_atom_site_fract_z
Dy1 Dy 0.0000 0.0000 0.0000
Er1 Er 0.0000 0.0000 0.2824
Er2 Er 0.0000 0.0000 0.7836
Tm1 Tm 0.0000 0.0000 0.4977
O1 O 0.0039 0.7112 0.3910
O2 O 0.0387 0.3706 0.5568
```

=====

# 7
## FeCu2NiH (GGA-PBE)

Data for a geometry-optimized FeCu2NiH structure.

Computed properties:
Calculated total energy = -0.3663 Ry per atom
DOS at the Fermi energy = 4.59 states/eV/cell
Mass density = 8.20 g/cm³
Volume = 9.8 A^3/atom

Structure (CIF):
```
data_FeCu2NiH
_cell_length_a 3.665
_cell_length_b 3.665
_cell_length_c 3.658
_cell_angle_alpha 90.00
_cell_angle_beta 90.00
_cell_angle_gamma 90.00
_space_group_name_H-M_alt 'P 4/m m m'
_space_group_IT_number 123
_space_group_name_Hall '-P 4 2'
loop_
_atom_site_label
_atom_site_type_symbol
_atom_site_fract_x
_atom_site_fract_y
_atom_site_fract_z
Fe1 Fe 0.000 0.000 0.000
Cu1 Cu 0.000 0.500 0.500
Ni1 Ni 0.500 0.500 0.000
H1 H 0.000 0.000 0.500
```

=====

# 8
## Er4InCu2Rh (GGA-PBE)

Data for a geometry-optimized Er4InCu2Rh structure.

Computed properties:
Formation enthalpy at 0 K = -492 meV per atom
DOS at the Fermi energy = 8.99 states/eV/cell
Mass density = 9.72 g/cm³
Volume = 21.6 A^3/atom

Structure (CIF):
```
data_Er4InCu2Rh
_cell_length_a 4.9664
_cell_length_b 4.9664
_cell_length_c 24.3155
_cell_angle_alpha 90.00
_cell_angle_beta 90.00
_cell_angle_gamma 120.00
_space_group_name_H-M_alt 'R -3 m'
_space_group_IT_number 166
_space_group_name_Hall '-R 3 2"'
loop_
_atom_site_label
_atom_site_type_symbol
_atom_site_fract_x
_atom_site_fract_y
_atom_site_fract_z
Er1 Er 0.0000 0.0000 0.1161
Er2 Er 0.0000 0.0000 0.3685
In1 In 0.0000 0.0000 0.5000
Cu1 Cu 0.0000 0.0000 0.2417
Rh1 Rh 0.0000 0.0000 0.0000
```

=====

# 9
## TiAl2Ru (GGA-PBE)

Data for a geometry-optimized TiAl2Ru structure.

Computed properties:
Formation enthalpy at 0 K = -499 meV per atom
DOS at the Fermi energy = 3.15 states/eV/cell
Mass density = 5.66 g/cm³
Volume = 14.9 A^3/atom

Structure (CIF):
```
data_TiAl2Ru
_cell_length_a 3.838
_cell_length_b 3.838
_cell_length_c 4.039
_cell_angle_alpha 90.00
_cell_angle_beta 90.00
_cell_angle_gamma 90.00
_space_group_name_H-M_alt 'P 4/m m m'
_space_group_IT_number 123
_space_group_name_Hall '-P 4 2'
loop_
_atom_site_label
_atom_site_type_symbol
_atom_site_fract_x
_atom_site_fract_y
_atom_site_fract_z
Ti1 Ti 0.000 0.000 0.000
Al1 Al 0.000 0.500 0.500
Ru1 Ru 0.500 0.500 0.000
```

=====

# 10
## BaNiSe2 (GGA-PBE)

Data for a geometry-optimized BaNiSe2 structure.

Computed properties:
Formation energy (no corrections) = -0.346 eV/atom
DOS at the Fermi energy = 4.74 states/eV/cell
Mass density = 5.88 g/cm³
Volume = 25.0 A^3/atom

Structure (CIF):
```
data_BaNiSe2
_cell_length_a 5.102
_cell_length_b 5.102
_cell_length_c 3.841
_cell_angle_alpha 90.00
_cell_angle_beta 90.00
_cell_angle_gamma 90.00
_space_group_name_H-M_alt 'P 4/m m m'
_space_group_IT_number 123
_space_group_name_Hall '-P 4 2'
loop_
_atom_site_label
_atom_site_type_symbol
_atom_site_fract_x
_atom_site_fract_y
_atom_site_fract_z
Ba1 Ba 0.000 0.000 0.000
Ni1 Ni 0.500 0.500 0.000
Se1 Se 0.000 0.500 0.500
```

=====

# 11
## InIrSe2 (GGA-PBE)

Data for a geometry-optimized InIrSe2 structure.

Computed properties:
Formation energy (no corrections) = 0.129 eV/atom
DOS at the Fermi energy = 5.38 states/eV/cell
Mass density = 9.16 g/cm³
Volume = 21.1 A^3/atom

Structure (CIF):
```
data_InIrSe2
_cell_length_a 3.051
_cell_length_b 4.569
_cell_length_c 12.088
_cell_angle_alpha 90.00
_cell_angle_beta 90.00
_cell_angle_gamma 90.00
_space_group_name_H-M_alt 'I m m 2'
_space_group_IT_number 44
_space_group_name_Hall 'I 2 -2'
loop_
_atom_site_label
_atom_site_type_symbol
_atom_site_fract_x
_atom_site_fract_y
_atom_site_fract_z
In1 In 0.000 0.000 0.000
Ir1 Ir 0.000 0.500 0.706
Se1 Se 0.000 0.000 0.371
Se2 Se 0.000 0.500 0.175
```

=====

# 12
## DyUFe4 (GGA-PBE)

Data for a geometry-optimized DyUFe4 structure.

Computed properties:
Formation enthalpy at 0 K = -12 meV per atom
Energy above the most stable polymorph in this dataset = 0.00 kJ per mole of atoms
DOS at the Fermi energy = 46.27 states/eV/cell
Mass density = 11.25 g/cm³
Volume = 15.4 A^3/atom

Structure (CIF):
```
data_DyUFe4
_cell_length_a 7.169
_cell_length_b 7.169
_cell_length_c 7.169
_cell_angle_alpha 90.00
_cell_angle_beta 90.00
_cell_angle_gamma 90.00
_space_group_name_H-M_alt 'F -4 3 m'
_space_group_IT_number 216
_space_group_name_Hall 'F -4 2 3'
loop_
_atom_site_label
_atom_site_type_symbol
_atom_site_fract_x
_atom_site_fract_y
_atom_site_fract_z
Dy1 Dy 0.000 0.000 0.000
U1 U 0.250 0.250 0.250
Fe1 Fe 0.125 0.125 0.625
```